Entry 1:
Below is a relaxed LaCd2As crystal, with properties calculated at the PBE level.

Cell lengths 8.617, 8.617, 6.773 Å; angles 50.50, 50.50, 90.00 degrees
Sites, in units of the cell vectors:
As1 0.500 0.500 0.000
As2 0.250 0.750 0.500
Cd1 0.575 0.125 0.250
Cd2 0.175 0.625 0.250
Cd3 0.375 0.425 0.750
Cd4 0.875 0.825 0.750
La1 0.000 0.000 0.000
La2 0.750 0.250 0.500

Values from the calculation:
**Total magnetic moment**: 0.00 μB per cell
**E_tot**: -3.28 eV/atom
**Space group**: No. 122

Entry 2:
Below is a relaxed LaCdAs2 crystal, with properties calculated at the PBE level.

Cell lengths 5.154, 5.154, 5.154 Å; angles 60.00, 60.00, 60.00 degrees
Sites, in units of the cell vectors:
As1 0.000 0.000 0.000
As2 0.750 0.750 0.750
Cd1 0.500 0.500 0.500
La1 0.250 0.250 0.250

Values from the calculation:
**Total magnetic moment**: 0.00 μB per cell
**E_tot**: -4.10 eV/atom
**Space group**: No. 216

Entry 3:
Below is a relaxed LaCdAs3 crystal, with properties calculated at the PBE level.

Cell lengths 5.666, 5.666, 5.666 Å; angles 90.00, 90.00, 90.00 degrees
Sites, in units of the cell vectors:
As1 0.000 0.500 0.000
As2 0.000 0.000 0.500
As3 0.500 0.000 0.000
Cd1 0.500 0.500 0.500
La1 0.000 0.000 0.000

Values from the calculation:
**Total magnetic moment**: 0.00 μB per cell
**Energy above the lowest structure with this stoichiometry**: 543 meV/atom
**Space group**: No. 221